1.
The following is a PBE-GGA calculation of a relaxed Tb15PmNd4 crystal, from Alexandria via LeMat-Bulk.

The calculated formation energy is 0.016 eV per atom. The final energy comes out at -92.949 eV per cell.

abc: 5.0820 5.0820 25.3217
angles: 90.00 90.00 90.00
Space group P4/mmm (No. 123)
One atom of each set of equivalent atoms:
Tb (0.0000, 0.0000, 0.0000) x1
Tb (0.0000, 0.0000, 0.1999) x2
Tb (0.0000, 0.0000, 0.4001) x2
Tb (0.0000, 0.5000, 0.0998) x4
Tb (0.0000, 0.5000, 0.3001) x4
Tb (0.0000, 0.5000, 0.5000) x2
Pm (0.5000, 0.5000, 0.0000) x1
Nd (0.5000, 0.5000, 0.2000) x2
Nd (0.5000, 0.5000, 0.4001) x2

=====

2.
The following is a PBE-GGA calculation of a relaxed Tb5Pm2Nd12 crystal, from Alexandria via LeMat-Bulk.

The calculated formation energy is 0.095 eV per atom. The final energy comes out at -176.128 eV per cell.

abc: 18.1116 11.7996 6.2706
angles: 90.00 102.66 90.00
Space group C2/m (No. 12)
One atom of each set of equivalent atoms:
Tb (0.0000, 0.0000, 0.0000) x2
Tb (0.1775, 0.5000, 0.3581) x4
Tb (0.2142, 0.0000, 0.0494) x4
Pm (0.0000, 0.2272, 0.5000) x4
Nd (0.0559, 0.5000, 0.7740) x4
Nd (0.1037, 0.2504, 0.1158) x8
Nd (0.1220, 0.0000, 0.4969) x4
Nd (0.1982, 0.2580, 0.7005) x8

=====

3.
The following is a PBE-GGA calculation of a relaxed Tb5Pm2Nd5 crystal, from Alexandria via LeMat-Bulk.

The calculated formation energy is 0.015 eV per atom. The final energy comes out at -112.632 eV per cell.

abc: 15.3803 5.1211 11.4885
angles: 90.00 116.56 90.00
Space group C2/m (No. 12)
One atom of each set of equivalent atoms:
Tb (0.0000, 0.0000, 0.0000) x2
Tb (0.0826, 0.0000, 0.7491) x4
Tb (0.1671, 0.0000, 0.5005) x4
Pm (0.0831, 0.5000, 0.2513) x4
Nd (0.0000, 0.5000, 0.5000) x2
Nd (0.1654, 0.5000, 0.9991) x4
Nd (0.2494, 0.5000, 0.7482) x4